The following is a PBE-GGA calculation of an optimized crystal structure of BaIrI2O, from Alexandria.

Cell: 6.688 6.688 4.441 Å, 90.00 90.00 90.00°
Space group P4/mmm (No. 123)
Asymmetric unit:
Ba: 0.000 0.000 0.000 x1
Ir: 0.500 0.500 0.500 x1
I: 0.000 0.500 0.000 x2
O: 0.000 0.000 0.500 x1

Calculated values
V: 198.7 Å³/f.u.
distance to the lowest polymorph of the same formula: 6.38 eV/f.u.

=====

The following is a PBE-GGA calculation of an optimized crystal structure of CaHgF3, from Alexandria.

Cell: 4.657 4.657 4.657 Å, 90.00 90.00 90.00°
Space group Pm-3m (No. 221)
Asymmetric unit:
Ca: 0.000 0.000 0.000 x1
Hg: 0.500 0.500 0.500 x1
F: 0.000 0.500 0.500 x3

Calculated values
V: 101.0 Å³/f.u.
distance to the lowest polymorph of the same formula: 3.58 eV/f.u.

=====

The following is a PBE-GGA calculation of an optimized crystal structure of Nd3Tl4BiTe8, from Alexandria.

Cell: 9.1575 9.1575 24.4118 Å, 90.00 90.00 120.00°
Space group R-3m (No. 166, hexagonal axes)
Asymmetric unit:
Nd: 0.0000 0.5000 0.0000 x9
Tl: 0.0000 0.0000 0.5000 x3
Tl: 0.0000 0.5000 0.5000 x9
Bi: 0.0000 0.0000 0.0000 x3
Te: 0.0000 0.0000 0.2597 x6
Te: 0.0011 0.5005 0.7401 x18

Calculated values
V: 591.0 Å³/f.u.

=====

The following is a PBE-GGA calculation of an optimized crystal structure of NdSc2TaO8, from Alexandria.

Cell: 6.880 6.908 6.843 Å, 90.00 90.00 90.00°
Space group Cmmm (No. 65)
Asymmetric unit:
Nd: 0.000 0.000 0.000 x2
Sc: 0.000 0.500 0.261 x4
Ta: 0.000 0.000 0.500 x2
O: 0.000 0.294 0.500 x4
O: 0.000 0.332 0.000 x4
O: 0.197 0.000 0.288 x8

Calculated values
V: 162.6 Å³/f.u.

=====

Energy relative to the elements, uncorrected values (in eV per atom) by entry order: 0.535, -1.837, -0.876, -2.841.